(1)
First-principles (GGA-PBE) data for a relaxed structure of Li2Tl2PdO6, as listed in the Alexandria database.

Values from the calculation:
**Total magnetic moment**: 0.00 μB per atom
**Space group**: C2/m (12)
**Theoretical density**: 7125 kg/m³
**Raw formation energy**: -952 meV/atom

Unit cell a=5.7782 b=5.7782 c=5.2105 alpha=96.68 beta=96.68 gamma=120.53
With the nearest neighbours (Å) after each atom.
Atoms (fractional coordinates):
Li: 0.8752 0.1248 0.0000  4 O 2.02-2.13
Li: 0.1248 0.8752 0.0000  4 O 2.02-2.13
Tl: 0.3360 0.6640 0.5000  6 O 2.32-2.35
Tl: 0.6640 0.3360 0.5000  6 O 2.32-2.35
Pd: 0.0000 0.0000 0.5000  6 O 2.01-2.04
O: 0.7616 0.7616 0.7286  1 Pd 2.01, 2 Li 2.13
O: 0.0371 0.3374 0.7206  1 Li 2.02, 1 Pd 2.04
O: 0.2384 0.2384 0.2714  1 Pd 2.01, 2 Li 2.13
O: 0.3374 0.0371 0.7206  1 Li 2.02, 1 Pd 2.04
O: 0.9629 0.6626 0.2794  1 Li 2.02, 1 Pd 2.04
O: 0.6626 0.9629 0.2794  1 Li 2.02, 1 Pd 2.04

***

(2)
First-principles (GGA-PBE) data for a relaxed structure of Li2TlPd2O6, as listed in the Alexandria database.

Values from the calculation:
**Total magnetic moment**: 0.07 μB per atom
**Space group**: C2/m (12)
**Theoretical density**: 6437 kg/m³
**Raw formation energy**: -836 meV/atom

Unit cell a=5.6276 b=5.6276 c=5.2410 alpha=98.68 beta=98.68 gamma=120.66
With the nearest neighbours (Å) after each atom.
Atoms (fractional coordinates):
Li: 0.7914 0.2086 0.0000  4 O 2.01-2.22
Li: 0.2086 0.7914 0.0000  4 O 2.01-2.22
Tl: 0.0000 0.0000 0.5000  6 O 2.23-2.35
Pd: 0.3387 0.6613 0.5000  6 O 2.05-2.19
Pd: 0.6613 0.3387 0.5000  6 O 2.05-2.19
O: 0.7097 0.7097 0.7149  2 Pd 2.08, 1 Tl 2.23
O: 0.0391 0.4185 0.7214  2 Li 2.01-2.22, 2 Pd 2.05-2.19
O: 0.2903 0.2903 0.2851  2 Pd 2.08, 1 Tl 2.23
O: 0.4185 0.0391 0.7214  2 Li 2.01-2.22, 2 Pd 2.05-2.19
O: 0.9609 0.5815 0.2786  2 Li 2.01-2.22, 2 Pd 2.05-2.19
O: 0.5815 0.9609 0.2786  2 Li 2.01-2.22, 2 Pd 2.05-2.19

***

(3)
First-principles (GGA-PBE) data for a relaxed structure of Li2TlPdO4, as listed in the Alexandria database.

Values from the calculation:
**Total magnetic moment**: 0.12 μB per atom
**Space group**: P2/m (10)
**Theoretical density**: 7071 kg/m³
**Raw formation energy**: -979 meV/atom

Unit cell a=3.1855 b=5.6294 c=5.4386 alpha=110.63 beta=90.00 gamma=90.00
With the nearest neighbours (Å) after each atom.
Atoms (fractional coordinates):
Li: 0.5000 0.0000 0.5000  6 O 2.18-2.23
Li: 0.0000 0.5000 0.5000  2 O 2.13
Tl: 0.5000 0.5000 0.0000  6 O 2.26-2.39
Pd: 0.0000 0.0000 0.0000  4 O 2.10
O: 0.5000 0.2068 0.2275  2 Pd 2.10, 1 Li 2.18
O: 0.5000 0.7932 0.7725  2 Pd 2.10, 1 Li 2.18
O: 0.0000 0.2611 0.7297  3 Li 2.13-2.23, 2 Tl 2.26
O: 0.0000 0.7389 0.2703  3 Li 2.13-2.23, 2 Tl 2.26

***

(4)
First-principles (GGA-PBE) data for a relaxed structure of Li3Tm2PdO6, as listed in the Alexandria database.

Values from the calculation:
**Total magnetic moment**: 0.09 μB per atom
**Space group**: C2/m (12)
**Theoretical density**: 6861 kg/m³
**Raw formation energy**: -2243 meV/atom

Unit cell a=5.5807 b=5.5807 c=5.3373 alpha=99.01 beta=99.01 gamma=120.55
With the nearest neighbours (Å) after each atom.
Atoms (fractional coordinates):
Li: 0.1478 0.8522 0.5000  6 O 2.17-2.41
Li: 0.8522 0.1478 0.5000  6 O 2.17-2.41
Li: 0.5000 0.5000 0.5000  6 O 2.28-2.33
Tm: 0.3299 0.6701 0.0000  6 O 2.22-2.27
Tm: 0.6701 0.3299 0.0000  6 O 2.22-2.27
Pd: 0.0000 0.0000 0.0000  6 O 2.08-2.25
O: 0.9200 0.5875 0.7516  3 Li 2.20-2.41, 2 Tm 2.22-2.23, 1 Pd 2.25
O: 0.7583 0.7583 0.2304  1 Pd 2.08, 3 Li 2.17-2.33, 2 Tm 2.27
O: 0.0800 0.4125 0.2484  3 Li 2.20-2.41, 2 Tm 2.22-2.23, 1 Pd 2.25
O: 0.5875 0.9200 0.7516  3 Li 2.20-2.41, 2 Tm 2.22-2.23, 1 Pd 2.25
O: 0.2417 0.2417 0.7696  1 Pd 2.08, 3 Li 2.17-2.33, 2 Tm 2.27
O: 0.4125 0.0800 0.2484  3 Li 2.20-2.41, 2 Tm 2.22-2.23, 1 Pd 2.25

***

(5)
First-principles (GGA-PBE) data for a relaxed structure of LiUPdO6, as listed in the Alexandria database.

Values from the calculation:
**Total magnetic moment**: 0.11 μB per atom
**Space group**: P4_2nm (102)
**Theoretical density**: 6736 kg/m³
**Raw formation energy**: -1715 meV/atom

Unit cell a=4.8228 b=4.8228 c=9.4838 alpha=90.00 beta=90.00 gamma=90.00
With the nearest neighbours (Å) after each atom.
Atoms (fractional coordinates):
Li: 0.5000 0.5000 0.1660  6 O 2.12-2.15
Li: 0.0000 0.0000 0.6660  6 O 2.12-2.15
U: 0.5000 0.5000 0.4982  6 O 2.05-2.09
U: 0.0000 0.0000 0.9982  6 O 2.05-2.09
Pd: 0.5000 0.5000 0.8343  6 O 2.00-2.02
Pd: 0.0000 0.0000 0.3343  6 O 2.00-2.02
O: 0.1940 0.8060 0.4920  1 Pd 2.00, 1 U 2.09, 1 Li 2.12
O: 0.8060 0.1940 0.4920  1 Pd 2.00, 1 U 2.09, 1 Li 2.12
O: 0.3060 0.3060 0.9920  1 Pd 2.00, 1 U 2.09, 1 Li 2.12
O: 0.6940 0.6940 0.9920  1 Pd 2.00, 1 U 2.09, 1 Li 2.12
O: 0.1885 0.8115 0.1702  1 Pd 2.02, 1 U 2.08, 1 Li 2.13
O: 0.8115 0.1885 0.1702  1 Pd 2.02, 1 U 2.08, 1 Li 2.13
O: 0.3115 0.3115 0.6702  1 Pd 2.02, 1 U 2.08, 1 Li 2.13
O: 0.6885 0.6885 0.6702  1 Pd 2.02, 1 U 2.08, 1 Li 2.13
O: 0.7966 0.2034 0.8386  1 Pd 2.02, 1 U 2.05, 1 Li 2.15
O: 0.2034 0.7966 0.8386  1 Pd 2.02, 1 U 2.05, 1 Li 2.15
O: 0.7034 0.7034 0.3386  1 Pd 2.02, 1 U 2.05, 1 Li 2.15
O: 0.2966 0.2966 0.3386  1 Pd 2.02, 1 U 2.05, 1 Li 2.15

***

(6)
First-principles (GGA-PBE) data for a relaxed structure of Li2YPdO, as listed in the Alexandria database.

Values from the calculation:
**Total magnetic moment**: 0.00 μB per atom
**Space group**: P4/mmm (123)
**Theoretical density**: 4782 kg/m³
**Raw formation energy**: -1355 meV/atom

Unit cell a=4.1429 b=4.1429 c=4.5561 alpha=90.00 beta=90.00 gamma=90.00
With the nearest neighbours (Å) after each atom.
Atoms (fractional coordinates):
Y: 0.0000 0.0000 0.5000  2 O 2.28
O: 0.0000 0.0000 0.0000  4 Li 2.07, 2 Y 2.28
Pd: 0.5000 0.5000 0.5000  4 Y 2.93, 8 Li 3.08
Li: 0.0000 0.5000 0.0000  2 O 2.07
Li: 0.5000 0.0000 0.0000  2 O 2.07

***

Please write out number 2 again, unchanged.
First-principles (GGA-PBE) data for a relaxed structure of Li2TlPd2O6, as listed in the Alexandria database.

Values from the calculation:
**Total magnetic moment**: 0.07 μB per atom
**Space group**: C2/m (12)
**Theoretical density**: 6437 kg/m³
**Raw formation energy**: -836 meV/atom

Unit cell a=5.6276 b=5.6276 c=5.2410 alpha=98.68 beta=98.68 gamma=120.66
With the nearest neighbours (Å) after each atom.
Atoms (fractional coordinates):
Li: 0.7914 0.2086 0.0000  4 O 2.01-2.22
Li: 0.2086 0.7914 0.0000  4 O 2.01-2.22
Tl: 0.0000 0.0000 0.5000  6 O 2.23-2.35
Pd: 0.3387 0.6613 0.5000  6 O 2.05-2.19
Pd: 0.6613 0.3387 0.5000  6 O 2.05-2.19
O: 0.7097 0.7097 0.7149  2 Pd 2.08, 1 Tl 2.23
O: 0.0391 0.4185 0.7214  2 Li 2.01-2.22, 2 Pd 2.05-2.19
O: 0.2903 0.2903 0.2851  2 Pd 2.08, 1 Tl 2.23
O: 0.4185 0.0391 0.7214  2 Li 2.01-2.22, 2 Pd 2.05-2.19
O: 0.9609 0.5815 0.2786  2 Li 2.01-2.22, 2 Pd 2.05-2.19
O: 0.5815 0.9609 0.2786  2 Li 2.01-2.22, 2 Pd 2.05-2.19